First-principles (PBE) data for an optimized crystal structure of CdGeBi3, as listed in Alexandria via LeMat-Bulk.

```
5
Lattice="5.5684 0.0000 0.0000 0.0000 5.5684 0.0000 0.0000 0.0000 5.5684" Properties=species:S:1:pos:R:3 pbc="T T T"
Cd 0.0000 0.0000 0.0000
Ge 2.7842 2.7842 2.7842
Bi 0.0000 2.7842 2.7842
Bi 2.7842 0.0000 2.7842
Bi 2.7842 2.7842 0.0000
```

Properties
The calculation puts the theoretical density at 7.8 g/cm3. The density of states at the Fermi level comes out at 1.193 states/eV per atom. The calculated formation energy comes out at 277 kJ/mol of formula units.